# 1
Compound: KW2O8
Source: Alexandria
Functional: GGA+U
Structure: relaxed

```
KW2O8
1.0
4.7675 0.0000 0.0000
0.0000 4.7675 0.0000
0.0000 0.0000 6.8794
K W O
1 2 8
direct
0.0000 0.0000 0.0000
0.0000 0.5000 0.5000
0.5000 0.0000 0.5000
0.2500 0.2500 0.3278
0.2500 0.2500 0.6722
0.2500 0.7500 0.3278
0.2500 0.7500 0.6722
0.7500 0.2500 0.3278
0.7500 0.2500 0.6722
0.7500 0.7500 0.3278
0.7500 0.7500 0.6722
```

Output
space-group type = P4/mmm (123)

***

# 2
Compound: K3WO4
Source: Alexandria
Functional: GGA+U
Structure: relaxed

```
K3WO4
1.0
8.2865 0.0000 0.0000
0.0000 7.4802 0.0000
0.0000 0.0000 6.4831
K W O
6 2 8
direct
0.0000 0.1515 0.0000
0.2493 0.3359 0.5027
0.2507 0.6641 0.0027
0.5000 0.8485 0.5000
0.7493 0.6641 0.0027
0.7507 0.3359 0.5027
0.0000 0.8404 0.4877
0.5000 0.1596 0.9877
0.0000 0.0738 0.5726
0.0000 0.8379 0.2053
0.1822 0.7302 0.5837
0.3178 0.2698 0.0837
0.5000 0.1621 0.7053
0.5000 0.9262 0.0726
0.6822 0.2698 0.0837
0.8178 0.7302 0.5837
```

Output
space-group type = Pmn2_1 (31)

***

# 3
Compound: KWO3
Source: Alexandria
Functional: GGA+U
Structure: relaxed

```
KWO3
1.0
3.5645 0.0000 0.0000
-1.7823 3.0870 0.0000
0.0000 0.0000 14.2983
K W O
2 2 6
direct
0.0000 0.0000 0.0000
0.0000 0.0000 0.5000
0.3333 0.6667 0.2500
0.6667 0.3333 0.7500
0.0000 0.0000 0.2500
0.0000 0.0000 0.7500
0.3333 0.6667 0.1209
0.3333 0.6667 0.3791
0.6667 0.3333 0.6209
0.6667 0.3333 0.8791
```

Output
space-group type = P6_3/mmc (194)

***

# 4
Compound: KWO3
Source: Alexandria
Functional: GGA+U
Structure: relaxed

```
KWO3
1.0
5.8467 -5.1659 0.0000
5.8467 5.1659 0.0000
-0.2645 0.0000 5.6115
K W O
4 4 12
direct
0.1085 0.3123 0.3005
0.3123 0.1085 0.8005
0.6877 0.8915 0.1995
0.8915 0.6877 0.6995
0.2528 0.7472 0.2500
0.4200 0.5800 0.7500
0.5800 0.4200 0.2500
0.7472 0.2528 0.7500
0.0351 0.7482 0.1298
0.2034 0.6210 0.5366
0.2518 0.9649 0.3702
0.3381 0.4902 0.0819
0.3790 0.7966 0.9634
0.4902 0.3381 0.5819
0.5098 0.6619 0.4181
0.6210 0.2034 0.0366
0.6619 0.5098 0.9181
0.7482 0.0351 0.6298
0.7966 0.3790 0.4634
0.9649 0.2518 0.8702
```

Output
space-group type = C2/c (15)

***

Taking the records one at a time from the top gives total magnetization values of 1.53 0.00 0.00 4.00 μB per cell.
Taking the records one at a time from the top gives raw total energy values of -0.45421 -0.40732 -0.45730 -0.48947 Ry/atom.